1.
## Li2IrPt5 (PBE)

Data for Li2IrPt5 after structural relaxation.

a b c (Å): 5.4398 5.4403 5.3345
angles (deg): 105.13 104.66 119.73
With the nearest neighbours (Å) after each atom.
Fractional coordinates of all 8 atoms:
Pt1 0.2533 0.3039 0.5013  4 Li 2.70-2.74, 6 Pt 2.71-2.98, 2 Ir 2.71-2.72
Pt2 0.7532 0.8038 0.5013  4 Li 2.70-2.74, 6 Pt 2.71-2.98, 2 Ir 2.71-2.72
Pt3 0.8036 0.2526 0.9983  2 Ir 2.70-2.74, 4 Li 2.71-2.72, 6 Pt 2.72-2.98
Pt4 0.3044 0.2525 0.0010  8 Pt 2.71-2.72, 2 Ir 2.73, 2 Li 2.94
Li1 0.2512 0.8054 0.5012  9 Pt 2.70-2.94, 2 Li 2.73, 1 Ir 2.94
Pt5 0.3016 0.7506 0.9983  2 Ir 2.70-2.74, 4 Li 2.71-2.72, 6 Pt 2.72-2.98
Ir1 0.8067 0.7509 0.0016  10 Pt 2.70-2.74, 2 Li 2.94
Li2 0.7491 0.3032 0.4969  9 Pt 2.70-2.94, 2 Li 2.73, 1 Ir 2.94

Values from the calculation:
**Magnetization**: 0.000 μB per atom
**Calculated total energy**: -5.703 eV per atom
**Crystal system**: monoclinic
**Density of states at the Fermi level**: 0.682 states/eV/atom
**SG**: No. 8
**ΔE_f**: -0.342 eV per atom

=====

2.
## Ac2UBi (PBE)

Data for Ac2UBi after structural relaxation.

a b c (Å): 3.5933 3.5933 13.0691
angles (deg): 82.10 82.10 60.00
With the nearest neighbours (Å) after each atom.
Fractional coordinates of all 4 atoms:
Ac1 0.0900 0.0900 0.7301  1 U 3.48, 6 Ac 3.59, 3 Bi 3.62
U1 0.0000 0.0000 0.0000  2 Ac 3.48, 6 U 3.59
Ac2 0.9100 0.9100 0.2699  1 U 3.48, 6 Ac 3.59, 3 Bi 3.62
Bi1 0.5000 0.5000 0.5000  6 Bi 3.59, 6 Ac 3.62

Values from the calculation:
**Magnetization**: 0.877 μB per atom
**Calculated total energy**: -5.356 eV per atom
**Crystal system**: trigonal
**Density of states at the Fermi level**: 2.506 states/eV/atom
**SG**: No. 166
**ΔE_f**: 0.491 eV per atom
**Relative energy among the computed polymorphs**: 146 kJ/mol of formula units

=====

3.
## Zr2SbMo (PBE)

Data for Zr2SbMo after structural relaxation.

a b c (Å): 4.2062 4.2062 10.5176
angles (deg): 78.47 78.47 90.00
With the nearest neighbours (Å) after each atom.
Fractional coordinates of all 8 atoms:
Sb1 0.0000 0.0000 0.0000  4 Zr 2.93, 4 Mo 2.97
Zr1 0.8750 0.8752 0.7500  2 Sb 2.93, 2 Mo 2.93, 4 Zr 2.97-2.98
Zr2 0.3750 0.3748 0.7500  2 Sb 2.93, 2 Mo 2.93, 4 Zr 2.97-2.98
Zr3 0.1248 0.6250 0.2500  2 Sb 2.93, 2 Mo 2.93, 4 Zr 2.97-2.98
Zr4 0.6252 0.1250 0.2500  2 Sb 2.93, 2 Mo 2.93, 4 Zr 2.97-2.98
Mo1 0.5000 0.5000 0.0000  4 Zr 2.93, 4 Sb 2.97
Mo2 0.2500 0.7500 0.5000  4 Zr 2.93, 4 Sb 2.97
Sb2 0.7500 0.2500 0.5000  4 Zr 2.93, 4 Mo 2.97

Values from the calculation:
**Magnetization**: 0.286 μB per atom
**Calculated total energy**: -7.592 eV per atom
**Crystal system**: tetragonal
**Density of states at the Fermi level**: 0.992 states/eV/atom
**SG**: No. 122